No. 1
## NbAlNi3 (GGA-PBEsol)

Data for a geometry-optimized NbAlNi3 structure.

Output
Energy: -5.99 eV/atom
V: 14.233 Å³/atom
ΔE_f: 0.684 eV per atom

a b c (Å): 4.144 4.144 4.144
angles (deg): 90.00 90.00 90.00
Positions (direct):
Nb  0.000  0.000  0.000
Al  0.500  0.500  0.500
Ni  0.000  0.500  0.500
Ni  0.500  0.000  0.500
Ni  0.500  0.500  0.000

No. 2
## NbAl3O (GGA-PBEsol)

Data for a geometry-optimized NbAl3O structure.

Output
Energy: -6.39 eV/atom
V: 13.450 Å³/atom

a b c (Å): 4.067 4.067 4.067
angles (deg): 90.00 90.00 90.00
Positions (direct):
Nb  0.000  0.000  0.000
Al  0.000  0.500  0.500
Al  0.500  0.000  0.500
Al  0.500  0.500  0.000
O  0.500  0.500  0.500

Which of these has the highest energy?
NbAlNi3